Record 1
TlHgSe2Br after structural relaxation. Source: the Alexandria database, functional PBE-GGA.

- Formation energy without anion corrections: 75 meV per atom
- Excess energy over the best structure of this formula in the dataset: 0.00 eV per formula unit
- E_tot: -2.1871 eV per atom
- Space group: P4/mmm (123)

abc: 5.260 5.260 6.000
angles: 90.00 90.00 90.00
Site moments in Bohr magnetons follow the coordinates.
Sites, in units of the cell vectors:
Se: 0.500 0.000 0.000  0.27
Br: 0.000 0.000 0.500  0.07
Tl: 0.500 0.500 0.500  0.00
Se: 0.000 0.500 0.000  0.27
Hg: 0.000 0.000 0.000  0.01

Record 2
Li2Cd4Hg5 after structural relaxation. Source: the Alexandria database, functional PBE-GGA.

- Energy of formation from the pure elements: -0.029 eV per atom
- Excess energy over the best structure of this formula in the dataset: 0.89 eV per formula unit
- E_tot: -0.8473 eV per atom
- Space group: R-3m (166)

abc: 4.680 4.680 16.378
angles: 81.79 81.79 60.00
Sites, in units of the cell vectors:
Cd: 0.436 0.436 0.691
Hg: 0.206 0.206 0.383
Hg: 0.378 0.378 0.865
Li: 0.145 0.145 0.566
Hg: 0.794 0.794 0.617
Cd: 0.685 0.685 0.945
Cd: 0.564 0.564 0.309
Cd: 0.315 0.315 0.055
Li: 0.855 0.855 0.434
Hg: 0.500 0.500 0.500
Hg: 0.622 0.622 0.135

Record 3
CdCuIrO4 after structural relaxation. Source: the Alexandria database, functional PBE-GGA.

- Formation energy without anion corrections: -743 meV per atom
- E_tot: -5.5579 eV per atom
- Space group: Imma (74)

abc: 5.896 6.453 6.366
angles: 119.56 90.00 117.19
Site moments in Bohr magnetons follow the coordinates.
Sites, in units of the cell vectors:
O: 0.292 0.585 0.342  0.02
O: 0.292 0.585 0.743  0.02
O: 0.708 0.415 0.257  0.02
O: 0.688 0.954 0.227  0.00
O: 0.312 0.046 0.773  0.00
Ir: 0.500 0.000 0.000  -0.01
O: 0.266 0.954 0.227  0.00
Cd: 0.832 0.664 0.082  0.00
Cd: 0.168 0.336 0.918  0.00
O: 0.708 0.415 0.658  0.02
O: 0.734 0.046 0.773  0.00
Cu: 0.000 0.500 0.500  0.09
Ir: 0.500 0.000 0.500  -0.01
Cu: 0.500 0.500 0.500  0.09

Record 4
TiGa2Ir after structural relaxation. Source: the Alexandria database, functional PBE-GGA.

- Energy of formation from the pure elements: -0.466 eV per atom
- E_tot: -6.1681 eV per atom
- Space group: P4/mmm (123)

abc: 3.947 3.911 3.911
angles: 90.00 90.00 90.00
Sites, in units of the cell vectors:
Ga: 0.000 0.500 0.000
Ti: 0.500 0.000 0.000
Ir: 0.500 0.500 0.500
Ga: 0.000 0.000 0.500

Record 5
ScAl2Cd after structural relaxation. Source: the Alexandria database, functional PBE-GGA.

- Energy of formation from the pure elements: -0.331 eV per atom
- E_tot: -4.0142 eV per atom
- Space group: P4/mmm (123)

abc: 4.242 4.242 4.180
angles: 90.00 90.00 90.00
Sites, in units of the cell vectors:
Sc: 0.000 0.500 0.500
Cd: 0.500 0.000 0.500
Al: 0.000 0.000 0.000
Al: 0.500 0.500 0.000

Record 6
BaLiYI6 after structural relaxation. Source: the Alexandria database, functional PBE-GGA.

- Formation energy without anion corrections: -1456 meV per atom
- E_tot: -3.6344 eV per atom
- Space group: P-31c (163)

abc: 7.838 7.838 14.998
angles: 90.00 90.00 120.00
Sites, in units of the cell vectors:
Ba: 0.000 0.000 0.000
I: 0.636 0.635 0.635
I: 0.635 0.636 0.135
I: 0.365 0.364 0.865
I: 0.365 0.002 0.635
Y: 0.333 0.667 0.750
I: 0.002 0.636 0.365
Li: 0.333 0.667 0.250
Y: 0.667 0.333 0.250
I: 0.364 0.365 0.365
Ba: 0.000 0.000 0.500
I: 0.998 0.364 0.635
I: 0.364 0.998 0.135
I: 0.635 0.998 0.365
I: 0.002 0.365 0.135
Li: 0.667 0.333 0.750
I: 0.998 0.635 0.865
I: 0.636 0.002 0.865

Record 7
Th2Ni15Ru2 after structural relaxation. Source: the Alexandria database, functional PBE-GGA.

- Energy of formation from the pure elements: -0.213 eV per atom
- E_tot: -6.5343 eV per atom
- Space group: R-3m (166)

abc: 6.358 6.358 6.358
angles: 82.45 82.45 82.45
Site moments in Bohr magnetons follow the coordinates.
Sites, in units of the cell vectors:
Ni: 0.000 0.000 0.500  0.39
Ni: 0.702 0.000 0.298  0.31
Ni: 0.843 0.344 0.344  0.37
Ni: 0.656 0.656 0.157  0.37
Ru: 0.097 0.097 0.097  0.58
Ni: 0.157 0.656 0.656  0.37
Ni: 0.344 0.344 0.843  0.37
Ni: 0.344 0.843 0.344  0.37
Ni: 0.298 0.000 0.702  0.31
Ni: 0.000 0.500 0.000  0.39
Ni: 0.000 0.702 0.298  0.31
Th: 0.658 0.658 0.658  -0.08
Ni: 0.000 0.298 0.702  0.31
Ni: 0.500 0.000 0.000  0.39
Ru: 0.903 0.903 0.903  0.58
Ni: 0.656 0.157 0.656  0.37
Ni: 0.702 0.298 0.000  0.31
Th: 0.342 0.342 0.342  -0.08
Ni: 0.298 0.702 0.000  0.31

Record 8
La3Te3S after structural relaxation. Source: the Alexandria database, functional PBE-GGA.

- Formation energy without anion corrections: -1587 meV per atom
- E_tot: -5.6344 eV per atom
- Space group: C2/m (12)

abc: 8.059 8.059 8.128
angles: 92.33 92.33 110.96
Sites, in units of the cell vectors:
S: 0.226 0.226 0.105
Te: 0.375 0.375 0.641
La: 0.183 0.490 0.298
La: 0.928 0.928 0.203
La: 0.072 0.072 0.797
Te: 0.772 0.228 0.000
La: 0.510 0.817 0.702
Te: 0.625 0.625 0.359
La: 0.817 0.510 0.702
Te: 0.228 0.772 0.000
La: 0.490 0.183 0.298
Te: 0.838 0.162 0.500
S: 0.774 0.774 0.895
Te: 0.162 0.838 0.500

Record 9
Rb2SnHg after structural relaxation. Source: the Alexandria database, functional PBE-GGA.

- Energy of formation from the pure elements: 0.187 eV per atom
- E_tot: -1.3726 eV per atom
- Space group: R-3m (166)

abc: 3.915 3.915 13.162
angles: 81.45 81.45 60.00
Sites, in units of the cell vectors:
Rb: 0.092 0.092 0.724
Hg: 0.500 0.500 0.500
Rb: 0.908 0.908 0.276
Sn: 0.000 0.000 0.000

Record 10
Pm2Sm3Ag2 after structural relaxation. Source: the Alexandria database, functional PBE-GGA.

- Energy of formation from the pure elements: -0.084 eV per atom
- Excess energy over the best structure of this formula in the dataset: 0.26 eV per formula unit
- E_tot: -4.2788 eV per atom
- Space group: Cmmm (65)

abc: 3.647 3.643 15.885
angles: 90.00 83.41 90.00
Sites, in units of the cell vectors:
Ag: 0.560 0.500 0.880
Sm: 0.121 0.000 0.759
Pm: 0.298 0.500 0.404
Sm: 0.879 0.000 0.241
Pm: 0.702 0.500 0.596
Ag: 0.440 0.500 0.120
Sm: 0.000 0.000 0.000

Record 11
RbInO2 after structural relaxation. Source: the Alexandria database, functional PBE-GGA.

- Formation energy without anion corrections: -1194 meV per atom
- E_tot: -4.6000 eV per atom
- Space group: R3m (160)

abc: 7.630 7.630 7.630
angles: 27.49 27.49 27.49
Sites, in units of the cell vectors:
In: 0.510 0.510 0.510
O: 0.599 0.599 0.599
O: 0.140 0.140 0.140
Rb: 0.002 0.002 0.002

Record 12
Ni2PCl after structural relaxation. Source: the Alexandria database, functional PBE-GGA.

- Formation energy without anion corrections: -17 meV per atom
- Excess energy over the best structure of this formula in the dataset: 1.21 eV per formula unit
- E_tot: -4.7213 eV per atom
- Space group: Cmmm (65)

abc: 3.223 3.223 6.730
angles: 90.00 90.00 120.47
Sites, in units of the cell vectors:
Ni: 0.000 0.000 0.464
Ni: 0.000 0.000 0.036
Cl: 0.500 0.500 0.750
P: 0.500 0.500 0.250

Size of the total moment across the listed records, respectively: 1.0, 0.0, 0.1, 0.0, 0.0, 0.0, 5.9, 0.0, 0.0, 0.0, 0.0, 0.0 μB per formula unit.